Entry 1:
## CrFeBPb2 (GGA-PBE)

Data for a relaxed structure of CrFeBPb2.

Cell and atoms, written as CIF:
```
data_CrFeBPb2
_chemical_formula_sum 'Cr1 Fe1 B1 Pb2'
_cell_length_a 5.150
_cell_length_b 5.150
_cell_length_c 4.242
_cell_angle_alpha 90.00
_cell_angle_beta 90.00
_cell_angle_gamma 90.00
_space_group_name_H-M_alt 'P 4/m m m'
_space_group_IT_number 123
_space_group_name_Hall '-P 4 2'
loop_
_atom_site_label
_atom_site_type_symbol
_atom_site_fract_x
_atom_site_fract_y
_atom_site_fract_z
Cr1 Cr 0.000 0.000 0.000
Fe1 Fe 0.000 0.000 0.500
B1 B 0.500 0.500 0.500
Pb1 Pb 0.000 0.500 0.000
```

Calculated density = 7.87 g/cm3
VASP energy = -24.1 eV/f.u.
Energy relative to the elements = 1.607 eV per atom



Entry 2:
## Li4MnRh (GGA-PBE)

Data for a relaxed structure of Li4MnRh.

Cell and atoms, written as CIF:
```
data_Li4MnRh
_chemical_formula_sum 'Li16 Mn4 Rh4'
_cell_length_a 6.862
_cell_length_b 6.862
_cell_length_c 6.862
_cell_angle_alpha 90.00
_cell_angle_beta 90.00
_cell_angle_gamma 90.00
_space_group_name_H-M_alt 'F -4 3 m'
_space_group_IT_number 216
_space_group_name_Hall 'F -4 2 3'
loop_
_atom_site_label
_atom_site_type_symbol
_atom_site_fract_x
_atom_site_fract_y
_atom_site_fract_z
Li1 Li 0.124 0.124 0.124
Mn1 Mn 0.000 0.000 0.500
Rh1 Rh 0.250 0.250 0.750
```

Calculated density = 3.82 g/cm3
VASP energy = -23.3 eV/f.u.
Energy relative to the elements = 0.151 eV per atom



Entry 3:
## LiDy2Ga9 (GGA-PBE)

Data for a relaxed structure of LiDy2Ga9.

Cell and atoms, written as CIF:
```
data_LiDy2Ga9
_chemical_formula_sum 'Li1 Dy2 Ga9'
_cell_length_a 4.235
_cell_length_b 4.235
_cell_length_c 12.469
_cell_angle_alpha 90.00
_cell_angle_beta 90.00
_cell_angle_gamma 90.00
_space_group_name_H-M_alt 'P 4/m m m'
_space_group_IT_number 123
_space_group_name_Hall '-P 4 2'
loop_
_atom_site_label
_atom_site_type_symbol
_atom_site_fract_x
_atom_site_fract_y
_atom_site_fract_z
Li1 Li 0.000 0.000 0.000
Dy1 Dy 0.000 0.000 0.324
Ga1 Ga 0.000 0.500 0.148
Ga2 Ga 0.000 0.500 0.500
Ga3 Ga 0.500 0.500 0.000
Ga4 Ga 0.500 0.500 0.337
```

Calculated density = 7.12 g/cm3
VASP energy = -43.3 eV/f.u.
Energy relative to the elements = -0.408 eV per atom



Entry 4:
## TbHo2Tm8 (GGA-PBE)

Data for a relaxed structure of TbHo2Tm8.

Cell and atoms, written as CIF:
```
data_TbHo2Tm8
_chemical_formula_sum 'Tb2 Ho4 Tm16'
_cell_length_a 17.837
_cell_length_b 4.933
_cell_length_c 7.819
_cell_angle_alpha 90.00
_cell_angle_beta 105.27
_cell_angle_gamma 90.00
_space_group_name_H-M_alt 'C 1 2/m 1'
_space_group_IT_number 12
_space_group_name_Hall '-C 2y'
loop_
_atom_site_label
_atom_site_type_symbol
_atom_site_fract_x
_atom_site_fract_y
_atom_site_fract_z
Tb1 Tb 0.000 0.000 0.000
Ho1 Ho 0.227 0.500 0.637
Tm1 Tm 0.045 0.500 0.727
Tm2 Tm 0.091 0.000 0.455
Tm3 Tm 0.137 0.500 0.182
Tm4 Tm 0.182 0.000 0.909
```

Relative energy among the computed polymorphs = 0 meV/atom
Calculated density = 9.21 g/cm3
VASP energy = -49.3 eV/f.u.
Energy relative to the elements = 0.025 eV per atom



Number 1: spin magnetization 2.3 μB/cell. Number 2: spin magnetization 16.9 μB/cell. Number 3: spin magnetization 0.0 μB/cell. Number 4: spin magnetization 0.0 μB/cell.